No. 1
Computed, not measured: a relaxed ZrScAl2 crystal at the PBE-GGA level of DFT.

Properties
distance to the lowest polymorph of the same formula	0.223	eV per atom
energy of formation from the pure elements	-0.216	eV/atom

a = 3.1882 Å, b = 3.1882 Å, c = 28.1182 Å
α = 90.00°, β = 90.00°, γ = 120.00°
Space group R-3m (No. 166, hexagonal axes)
Unique sites:
Zr1 0.0000 0.0000 0.0000
Sc1 0.0000 0.0000 0.5000
Al1 0.0000 0.0000 0.2500

No. 2
Computed, not measured: a relaxed EuSbPbCl crystal at the PBE-GGA level of DFT.

Properties
DFT total energy	-5.869	eV per atom

a = 7.776 Å, b = 7.776 Å, c = 7.776 Å
α = 90.00°, β = 90.00°, γ = 90.00°
Space group F-43m (No. 216)
Unique sites:
Eu1 0.000 0.000 0.000
Sb1 0.250 0.250 0.750
Pb1 0.000 0.000 0.500
Cl1 0.250 0.250 0.250

No. 3
Computed, not measured: a relaxed Pm8ScCd2 crystal at the PBE-GGA level of DFT.

Properties
energy of formation from the pure elements	0.019	eV/atom

a = 8.840 Å, b = 15.421 Å, c = 5.685 Å
α = 90.00°, β = 113.71°, γ = 90.00°
Space group C2/m (No. 12)
Unique sites:
Pm1 0.000 0.216 0.000
Pm2 0.104 0.500 0.800
Pm3 0.206 0.111 0.611
Sc1 0.000 0.000 0.000
Cd1 0.000 0.304 0.500

No. 4
Computed, not measured: a relaxed Si2TcHgS crystal at the PBE-GGA level of DFT.

Properties
DFT total energy	-4.218	eV per atom

a = 4.723 Å, b = 4.723 Å, c = 4.379 Å
α = 90.00°, β = 90.00°, γ = 90.00°
Space group P4/mmm (No. 123)
Unique sites:
Si1 0.000 0.500 0.000
Tc1 0.000 0.000 0.500
Hg1 0.500 0.500 0.500
S1 0.000 0.000 0.000

No. 5
Computed, not measured: a relaxed NpTi3Pd12 crystal at the PBE-GGA level of DFT.

Properties
energy of formation from the pure elements	-0.575	eV/atom

a = 3.986 Å, b = 3.986 Å, c = 15.936 Å
α = 90.00°, β = 90.00°, γ = 90.00°
Space group P4/mmm (No. 123)
Unique sites:
Np1 0.000 0.000 0.000
Ti1 0.000 0.000 0.256
Ti2 0.000 0.000 0.500
Pd1 0.000 0.500 0.138
Pd2 0.000 0.500 0.379
Pd3 0.500 0.500 0.000
Pd4 0.500 0.500 0.258
Pd5 0.500 0.500 0.500

No. 6
Computed, not measured: a relaxed Pr6Mg2Cd crystal at the PBE-GGA level of DFT.

Properties
energy of formation from the pure elements	0.028	eV/atom

a = 6.203 Å, b = 9.729 Å, c = 10.899 Å
α = 90.00°, β = 116.29°, γ = 90.00°
Space group P2_1/c (No. 14)
Unique sites:
Pr1 0.053 0.166 0.458
Pr2 0.359 0.699 0.414
Pr3 0.417 0.054 0.312
Mg1 0.174 0.109 0.776
Cd1 0.000 0.000 0.000

No. 7
Computed, not measured: a relaxed Pu2PbN crystal at the PBE-GGA level of DFT.

Properties
DFT total energy	-10.574	eV per atom

a = 4.0448 Å, b = 4.0448 Å, c = 12.2754 Å
α = 90.00°, β = 90.00°, γ = 120.00°
Space group P-3m1 (No. 164)
Unique sites:
Pu1 0.3333 0.6667 0.3939
Pu2 0.3333 0.6667 0.9955
Pb1 0.0000 0.0000 0.1914
N1 0.3333 0.6667 0.5701

No. 8
Computed, not measured: a relaxed Nd4GaN crystal at the PBE-GGA level of DFT.

Properties
DFT total energy	-5.605	eV per atom

a = 9.041 Å, b = 3.661 Å, c = 12.516 Å
α = 90.00°, β = 124.92°, γ = 90.00°
Space group P2/c (No. 13)
Unique sites:
Nd1 0.116 0.000 0.167
Nd2 0.291 0.500 0.013
Ga1 0.500 0.001 0.250
N1 0.000 0.500 0.000

No. 9
Computed, not measured: a relaxed BaMn2Se crystal at the PBE-GGA level of DFT.

Properties
DFT total energy	-5.837	eV per atom

a = 4.2232 Å, b = 4.2232 Å, c = 17.2620 Å
α = 90.00°, β = 90.00°, γ = 120.00°
Space group R-3m (No. 166, hexagonal axes)
Unique sites:
Ba1 0.0000 0.0000 0.0000
Mn1 0.0000 0.0000 0.1857
Se1 0.0000 0.0000 0.5000

No. 10
Computed, not measured: a relaxed InCu2As crystal at the PBE-GGA level of DFT.

Properties
energy of formation from the pure elements	0.132	eV/atom

a = 4.431 Å, b = 4.431 Å, c = 15.794 Å
α = 90.00°, β = 90.00°, γ = 90.00°
Space group I-42d (No. 122)
Unique sites:
In1 0.000 0.000 0.000
Cu1 0.162 0.250 0.625
As1 0.000 0.000 0.500

No. 11
Computed, not measured: a relaxed TbPuPaAl crystal at the PBE-GGA level of DFT.

Properties
energy of formation from the pure elements	0.105	eV/atom

a = 7.278 Å, b = 7.278 Å, c = 7.278 Å
α = 90.00°, β = 90.00°, γ = 90.00°
Space group F-43m (No. 216)
Unique sites:
Tb1 0.000 0.000 0.000
Pu1 0.000 0.000 0.500
Pa1 0.250 0.250 0.750
Al1 0.250 0.250 0.250

No. 12
Computed, not measured: a relaxed ReHOsW2 crystal at the PBE-GGA level of DFT.

Properties
distance to the lowest polymorph of the same formula	0.000	eV per atom

a = 4.016 Å, b = 4.016 Å, c = 3.946 Å
α = 90.00°, β = 90.00°, γ = 90.00°
Space group P4/mmm (No. 123)
Unique sites:
Re1 0.000 0.000 0.000
H1 0.000 0.000 0.500
Os1 0.500 0.500 0.000
W1 0.000 0.500 0.500

No. 13
Computed, not measured: a relaxed TaAgAs crystal at the PBE-GGA level of DFT.

Properties
energy of formation from the pure elements	0.186	eV/atom

a = 2.993 Å, b = 3.364 Å, c = 10.816 Å
α = 90.00°, β = 90.00°, γ = 90.00°
Space group Imm2 (No. 44)
Unique sites:
Ta1 0.000 0.000 0.000
Ag1 0.000 0.000 0.316
As1 0.000 0.000 0.636

No. 14
Computed, not measured: a relaxed LiPm2O crystal at the PBE-GGA level of DFT.

Properties
DFT total energy	-5.185	eV per atom

a = 3.5807 Å, b = 3.5807 Å, c = 27.6407 Å
α = 90.00°, β = 90.00°, γ = 120.00°
Space group R-3m (No. 166, hexagonal axes)
Unique sites:
Li1 0.0000 0.0000 0.0000
Pm1 0.0000 0.0000 0.1174
O1 0.0000 0.0000 0.5000

No. 15
Computed, not measured: a relaxed NdTeF crystal at the PBE-GGA level of DFT.

Properties
distance to the lowest polymorph of the same formula	0.037	eV per atom

a = 6.598 Å, b = 7.050 Å, c = 8.002 Å
α = 90.00°, β = 122.08°, γ = 90.00°
Space group P2_1/c (No. 14)
Unique sites:
Nd1 0.144 0.182 0.233
Te1 0.311 0.582 0.119
F1 0.114 0.085 0.928

No. 16
Computed, not measured: a relaxed Pu2IO11 crystal at the PBE-GGA level of DFT.

Properties
DFT total energy	-7.152	eV per atom

a = 8.104 Å, b = 9.502 Å, c = 10.285 Å
α = 90.00°, β = 90.00°, γ = 90.00°
Space group Ibam (No. 72)
Unique sites:
Pu1 0.195 0.207 0.000
I1 0.000 0.500 0.250
O1 0.000 0.000 0.000
O2 0.091 0.163 0.500
O3 0.108 0.327 0.135
O4 0.204 0.410 0.365

No. 17
Computed, not measured: a relaxed ThCuAgRh crystal at the PBE-GGA level of DFT.

Properties
energy of formation from the pure elements	-0.226	eV/atom

a = 6.789 Å, b = 6.789 Å, c = 6.789 Å
α = 90.00°, β = 90.00°, γ = 90.00°
Space group F-43m (No. 216)
Unique sites:
Th1 0.000 0.000 0.000
Cu1 0.250 0.250 0.250
Ag1 0.000 0.000 0.500
Rh1 0.250 0.250 0.750

No. 18
Computed, not measured: a relaxed NpRuPtO6 crystal at the PBE-GGA level of DFT.

Properties
DFT total energy	-7.934	eV per atom

a = 5.2212 Å, b = 5.2212 Å, c = 9.1597 Å
α = 90.00°, β = 90.00°, γ = 120.00°
Space group P-31c (No. 163)
Unique sites:
Np1 0.3333 0.6667 0.2500
Ru1 0.0000 0.0000 0.0000
Pt1 0.3333 0.6667 0.7500
O1 0.0016 0.3262 0.6229

No. 19
Computed, not measured: a relaxed Hg2IrSe crystal at the PBE-GGA level of DFT.

Properties
DFT total energy	-3.026	eV per atom

a = 3.007 Å, b = 3.275 Å, c = 9.447 Å
α = 90.00°, β = 90.00°, γ = 90.00°
Space group Pmm2 (No. 25)
Unique sites:
Hg1 0.000 0.000 0.000
Hg2 0.500 0.500 0.288
Ir1 0.000 0.000 0.538
Se1 0.500 0.500 0.659

No. 20
Computed, not measured: a relaxed SrMgAu2 crystal at the PBE-GGA level of DFT.

Properties
energy of formation from the pure elements	-0.366	eV/atom

a = 7.188 Å, b = 7.188 Å, c = 7.188 Å
α = 90.00°, β = 90.00°, γ = 90.00°
Space group F-43m (No. 216)
Unique sites:
Sr1 0.000 0.000 0.000
Mg1 0.250 0.250 0.750
Au1 0.000 0.000 0.500
Au2 0.250 0.250 0.250